# Ca2ZrCl | the Alexandria database | PBE | relaxed
data_Ca2ZrCl
_chemical_formula_sum 'Ca4 Zr2 Cl2'
_symmetry_space_group_name_H-M 'I 4/m m m'
_symmetry_Int_Tables_number 139
_symmetry_space_group_name_Hall '-I 4 2'
_cell_length_a 4.8978
_cell_length_b 4.8978
_cell_length_c 10.2098
_cell_angle_alpha 90.00
_cell_angle_beta 90.00
_cell_angle_gamma 90.00
loop_
_atom_site_label
_atom_site_type_symbol
_atom_site_fract_x
_atom_site_fract_y
_atom_site_fract_z
Ca1 Ca 0.0000 0.5000 0.2500
Zr1 Zr 0.0000 0.0000 0.0000
Cl1 Cl 0.0000 0.0000 0.5000
# Crystal system: tetragonal
# Polymorph energy (0 for the lowest one) (meV per atom): 800.0
# Volume (Å³ per cell): 245
# D(E_F) (states/eV/atom): 1.098
# Formation energy from raw total energies (eV per atom): 0.17
# Total moment (μB per atom): 0.849
# DFT total energy (eV per cell): -27.41



# Sr2GaB2O6 | the Alexandria database | PBE | relaxed
data_Sr2GaB2O6
_chemical_formula_sum 'Sr6 Ga3 B6 O18'
_symmetry_space_group_name_H-M 'R -3 m'
_symmetry_Int_Tables_number 166
_symmetry_space_group_name_Hall '-R 3 2"'
_cell_length_a 5.2670
_cell_length_b 5.2670
_cell_length_c 17.1708
_cell_angle_alpha 90.00
_cell_angle_beta 90.00
_cell_angle_gamma 120.00
loop_
_atom_site_label
_atom_site_type_symbol
_atom_site_fract_x
_atom_site_fract_y
_atom_site_fract_z
Sr1 Sr 0.0000 0.0000 0.2162
Ga1 Ga 0.0000 0.0000 0.0000
B1 B 0.0000 0.0000 0.4203
O1 O 0.0274 0.5137 0.2462
# Crystal system: trigonal
# Volume (Å³ per cell): 413
# D(E_F) (states/eV/atom): 0.137
# Formation energy from raw total energies (eV per atom): -2.38
# Total moment (μB per atom): 0.000
# DFT total energy (eV per cell): -227.16



# KMnV2Sb | the Alexandria database | PBE | relaxed
data_KMnV2Sb
_chemical_formula_sum 'K1 Mn1 V2 Sb1'
_symmetry_space_group_name_H-M 'P 4/m m m'
_symmetry_Int_Tables_number 123
_symmetry_space_group_name_Hall '-P 4 2'
_cell_length_a 4.4188
_cell_length_b 4.4188
_cell_length_c 4.3071
_cell_angle_alpha 90.00
_cell_angle_beta 90.00
_cell_angle_gamma 90.00
loop_
_atom_site_label
_atom_site_type_symbol
_atom_site_fract_x
_atom_site_fract_y
_atom_site_fract_z
K1 K 0.0000 0.0000 0.0000
Mn1 Mn 0.0000 0.0000 0.5000
V1 V 0.0000 0.5000 0.0000
Sb1 Sb 0.5000 0.5000 0.5000
# Crystal system: tetragonal
# Volume (Å³ per cell): 84
# D(E_F) (states/eV/atom): 2.303
# Formation energy from raw total energies (eV per atom): 2.43
# Total moment (μB per atom): 0.000
# DFT total energy (eV per cell): -20.48